Ca2SiTc after structural relaxation, computed with PBE.

Lattice parameters (Å, degrees): 4.119 5.990 5.990 41.74 90.00 90.00
Positions (direct):
1 Ca 0.000 0.000 0.000
2 Ca 0.500 0.290 0.290
3 Si 0.000 0.698 0.698
4 Tc 0.500 0.596 0.596

As for the density of states at the Fermi level: 3.1 states/eV per cell. The raw formation energy is -69 meV/atom.